Below is a relaxed structure of Zr2TiNbCu, with properties calculated at the PBE level.

Cell: 4.915 4.490 4.915 Å, 90.00 90.00 90.00°
Atoms (fractional coordinates):
Cu: 0.000 0.000 0.000
Ti: 0.000 0.500 0.000
Zr: 0.000 0.000 0.500
Zr: 0.500 0.000 0.000
Nb: 0.500 0.500 0.500

Values from the calculation:
* formation energy: 0.742 eV/atom
* crystal system: tetragonal
* ΔE to the lowest computed polymorph: 0.000 eV/atom
* total magnetic moment: 0.24 μB per atom
* DFT total energy: -7.090 eV per atom
* SG: P4/mmm (123)

=====

Below is a relaxed structure of Ac12SiSn6, with properties calculated at the PBE level.

Cell: 9.506 9.506 9.506 Å, 99.41 99.41 99.41°
Atoms (fractional coordinates):
Ac: 0.438 0.812 0.574
Ac: 0.937 0.032 0.678
Ac: 0.032 0.678 0.937
Ac: 0.968 0.322 0.063
Ac: 0.562 0.188 0.426
Ac: 0.574 0.438 0.812
Ac: 0.063 0.968 0.322
Ac: 0.188 0.426 0.562
Ac: 0.322 0.063 0.968
Ac: 0.678 0.937 0.032
Ac: 0.426 0.562 0.188
Ac: 0.812 0.574 0.438
Sn: 0.371 0.697 0.875
Sn: 0.303 0.125 0.629
Sn: 0.629 0.303 0.125
Sn: 0.875 0.371 0.697
Sn: 0.125 0.629 0.303
Sn: 0.697 0.875 0.371
Si: 0.000 0.000 0.000

Values from the calculation:
* ΔE_f (raw): -0.40 eV/atom
* crystal system: trigonal
* total magnetic moment: 0.00 μB per atom
* DFT total energy: -4.547 eV per atom
* SG: R-3 (148)

=====

Below is a relaxed structure of BeAg2Te, with properties calculated at the PBE level.

Cell: 4.778 4.778 4.778 Å, 60.00 60.00 60.00°
Atoms (fractional coordinates):
Be: 0.500 0.500 0.500
Ag: 0.750 0.750 0.750
Ag: 0.000 0.000 0.000
Te: 0.250 0.250 0.250

Values from the calculation:
* ΔE_f (raw): 0.47 eV/atom
* crystal system: cubic
* ΔE to the lowest computed polymorph: 0.336 eV/atom
* total magnetic moment: 0.00 μB per atom
* DFT total energy: -2.668 eV per atom
* SG: F-43m (216)

=====

Below is a relaxed structure of SnBiAuS2, with properties calculated at the PBE level.

Cell: 5.306 5.312 5.306 Å, 90.00 90.00 90.00°
Atoms (fractional coordinates):
Au: 0.000 0.500 0.000
Bi: 0.000 0.000 0.000
S: 0.000 0.000 0.500
S: 0.500 0.000 0.000
Sn: 0.500 0.500 0.500

Values from the calculation:
* ΔE_f (raw): 0.37 eV/atom
* crystal system: tetragonal
* total magnetic moment: 0.00 μB per atom
* DFT total energy: -3.509 eV per atom
* SG: P4/mmm (123)

=====

Below is a relaxed structure of Ag2W3, with properties calculated at the PBE level.

Cell: 12.473 12.473 12.473 Å, 12.85 12.85 12.85°
Atoms (fractional coordinates):
W: 0.800 0.800 0.800
W: 0.200 0.200 0.200
W: 0.000 0.000 0.000
Ag: 0.400 0.400 0.400
Ag: 0.600 0.600 0.600

Values from the calculation:
* formation energy: 0.580 eV/atom
* crystal system: trigonal
* total magnetic moment: 0.00 μB per atom
* DFT total energy: -8.333 eV per atom
* SG: R-3m (166)

=====

Below is a relaxed structure of SrCa2BiSb, with properties calculated at the PBE level.

Cell: 5.865 5.865 6.214 Å, 90.00 90.00 90.00°
Atoms (fractional coordinates):
Sr: 0.000 0.000 0.500
Ca: 0.500 0.000 0.000
Ca: 0.000 0.500 0.000
Sb: 0.500 0.500 0.500
Bi: 0.000 0.000 0.000

Values from the calculation:
* ΔE_f (raw): -0.47 eV/atom
* crystal system: tetragonal
* ΔE to the lowest computed polymorph: 0.303 eV/atom
* total magnetic moment: 0.00 μB per atom
* DFT total energy: -3.206 eV per atom
* SG: P4/mmm (123)

=====

Below is a relaxed structure of GdYTlNi, with properties calculated at the PBE level.

Cell: 5.151 5.151 5.151 Å, 60.00 60.00 60.00°
Atoms (fractional coordinates):
Tl: 0.000 0.000 0.000
Y: 0.250 0.250 0.250
Ni: 0.500 0.500 0.500
Gd: 0.750 0.750 0.750

Values from the calculation:
* formation energy: -0.248 eV/atom
* crystal system: cubic
* total magnetic moment: 1.80 μB per atom
* DFT total energy: -7.421 eV per atom
* SG: F-43m (216)

=====

Below is a relaxed structure of Pm4Cd2C, with properties calculated at the PBE level.

Cell: 5.118 5.118 8.462 Å, 72.40 72.40 90.00°
Atoms (fractional coordinates):
Cd: 0.630 0.630 0.739
Cd: 0.370 0.370 0.261
C: 0.000 0.000 0.000
Pm: 0.836 0.836 0.329
Pm: 0.000 0.500 0.000
Pm: 0.164 0.164 0.671
Pm: 0.500 0.000 0.000

Values from the calculation:
* formation energy: -0.149 eV/atom
* crystal system: tetragonal
* total magnetic moment: 0.00 μB per atom
* DFT total energy: -4.443 eV per atom
* SG: I4/mmm (139)

=====

Below is a relaxed structure of CaNd4Hg4, with properties calculated at the PBE level.

Cell: 6.145 9.968 9.968 Å, 90.00 90.00 90.00°
Atoms (fractional coordinates):
Nd: 0.903 0.590 0.838
Nd: 0.597 0.910 0.662
Nd: 0.097 0.162 0.590
Nd: 0.903 0.410 0.162
Nd: 0.597 0.090 0.338
Nd: 0.403 0.662 0.090
Nd: 0.097 0.838 0.410
Nd: 0.403 0.338 0.910
Ca: 0.000 0.000 0.000
Ca: 0.500 0.500 0.500
Hg: 0.404 0.364 0.229
Hg: 0.404 0.636 0.771
Hg: 0.096 0.136 0.271
Hg: 0.904 0.271 0.864
Hg: 0.904 0.729 0.136
Hg: 0.596 0.771 0.364
Hg: 0.096 0.864 0.729
Hg: 0.596 0.229 0.636

Values from the calculation:
* formation energy: -0.247 eV/atom
* crystal system: tetragonal
* total magnetic moment: 0.00 μB per atom
* DFT total energy: -2.722 eV per atom
* SG: P4_2/n (86)

=====

Below is a relaxed structure of SrSmAs2Pd5, with properties calculated at the PBE level.

Cell: 4.382 4.382 9.035 Å, 90.00 90.00 90.00°
Atoms (fractional coordinates):
Pd: 0.000 0.500 0.736
Pd: 0.000 0.500 0.264
Pd: 0.500 0.000 0.736
Pd: 0.500 0.000 0.264
Pd: 0.500 0.500 0.500
Sr: 0.000 0.000 0.500
Sm: 0.000 0.000 0.000
As: 0.500 0.500 0.139
As: 0.500 0.500 0.861

Values from the calculation:
* formation energy: -0.689 eV/atom
* crystal system: tetragonal
* total magnetic moment: 0.00 μB per atom
* DFT total energy: -5.319 eV per atom
* SG: P4/mmm (123)

=====

Below is a relaxed structure of K2ZrTl, with properties calculated at the PBE level.

Cell: 6.267 4.516 4.516 Å, 90.00 90.00 90.00°
Atoms (fractional coordinates):
Tl: 0.500 0.500 0.000
K: 0.000 0.500 0.500
K: 0.000 0.000 0.000
Zr: 0.500 0.000 0.500

Values from the calculation:
* formation energy: 0.552 eV/atom
* crystal system: tetragonal
* ΔE to the lowest computed polymorph: 0.219 eV/atom
* total magnetic moment: 0.25 μB per atom
* DFT total energy: -2.725 eV per atom
* SG: P4/mmm (123)

=====

Below is a relaxed structure of CeEr3, with properties calculated at the PBE level.

Cell: 6.076 6.076 6.076 Å, 131.65 131.65 70.78°
Atoms (fractional coordinates):
Er: 0.750 0.250 0.500
Er: 0.500 0.500 0.000
Er: 0.250 0.750 0.500
Ce: 0.000 0.000 0.000

Values from the calculation:
* formation energy: 0.082 eV/atom
* crystal system: tetragonal
* ΔE to the lowest computed polymorph: 0.020 eV/atom
* total magnetic moment: 0.25 μB per atom
* DFT total energy: -4.824 eV per atom
* SG: I4/mmm (139)

=====

Below is a relaxed structure of PrGd3S, with properties calculated at the PBE level.

Cell: 5.404 5.404 5.404 Å, 90.00 90.00 90.00°
Atoms (fractional coordinates):
Gd: 0.000 0.000 0.500
Gd: 0.500 0.000 0.000
Gd: 0.000 0.500 0.000
Pr: 0.500 0.500 0.500
S: 0.000 0.000 0.000

Values from the calculation:
* ΔE_f (raw): -0.68 eV/atom
* crystal system: cubic
* total magnetic moment: 4.50 μB per atom
* DFT total energy: -10.909 eV per atom
* SG: Pm-3m (221)

=====

Below is a relaxed structure of UReRu2, with properties calculated at the PBE level.

Cell: 3.941 4.064 4.064 Å, 90.00 90.00 90.00°
Atoms (fractional coordinates):
Re: 0.500 0.000 0.000
Ru: 0.000 0.000 0.500
Ru: 0.000 0.500 0.000
U: 0.500 0.500 0.500

Values from the calculation:
* formation energy: -0.139 eV/atom
* crystal system: tetragonal
* ΔE to the lowest computed polymorph: 0.000 eV/atom
* total magnetic moment: 0.00 μB per atom
* DFT total energy: -10.710 eV per atom
* SG: P4/mmm (123)

=====

Below is a relaxed structure of Tm2AuI8, with properties calculated at the PBE level.

Cell: 10.524 9.140 9.140 Å, 50.10 75.05 75.05°
Atoms (fractional coordinates):
I: 0.729 0.377 0.377
I: 0.578 0.792 0.792
I: 0.855 0.361 0.848
I: 0.145 0.152 0.639
I: 0.145 0.639 0.152
I: 0.271 0.623 0.623
I: 0.855 0.848 0.361
I: 0.422 0.208 0.208
Tm: 0.311 0.782 0.782
Tm: 0.689 0.218 0.218
Au: 0.000 0.000 0.000

Values from the calculation:
* ΔE_f (raw): -0.85 eV/atom
* crystal system: monoclinic
* total magnetic moment: 0.00 μB per atom
* DFT total energy: -3.093 eV per atom
* SG: C2/m (12)

=====

Below is a relaxed structure of SbTe2AuC, with properties calculated at the PBE level.

Cell: 4.838 4.699 4.838 Å, 90.00 90.00 90.00°
Atoms (fractional coordinates):
Te: 0.500 0.000 0.000
Te: 0.000 0.000 0.500
C: 0.000 0.000 0.000
Au: 0.500 0.500 0.500
Sb: 0.000 0.500 0.000

Values from the calculation:
* ΔE_f (raw): 1.05 eV/atom
* crystal system: tetragonal
* ΔE to the lowest computed polymorph: 0.000 eV/atom
* total magnetic moment: 0.00 μB per atom
* DFT total energy: -3.534 eV per atom
* SG: P4/mmm (123)

=====

Below is a relaxed structure of Pr3Nd4In, with properties calculated at the PBE level.

Cell: 7.187 7.258 10.208 Å, 90.00 90.00 90.00°
Atoms (fractional coordinates):
In: 0.500 0.311 0.500
In: 0.500 0.811 0.000
Nd: 0.499 0.810 0.500
Nd: 0.001 0.311 0.500
Nd: 0.261 0.561 0.249
Nd: 0.739 0.061 0.251
Nd: 0.739 0.061 0.749
Nd: 0.501 0.310 0.000
Nd: 0.261 0.561 0.751
Nd: 0.999 0.811 0.000
Pr: 0.000 0.310 0.000
Pr: 0.000 0.810 0.500
Pr: 0.740 0.561 0.750
Pr: 0.260 0.061 0.250
Pr: 0.260 0.061 0.750
Pr: 0.740 0.561 0.250

Values from the calculation:
* formation energy: -0.087 eV/atom
* crystal system: orthorhombic
* ΔE to the lowest computed polymorph: 0.015 eV/atom
* total magnetic moment: 0.00 μB per atom
* DFT total energy: -4.606 eV per atom
* SG: Pmn2_1 (31)

=====

Below is a relaxed structure of Tb2TeAs, with properties calculated at the PBE level.

Cell: 4.214 4.214 7.516 Å, 90.03 106.25 120.00°
Atoms (fractional coordinates):
As: 0.000 0.000 0.000
Te: 0.000 0.500 0.500
Tb: 0.521 0.261 0.782
Tb: 0.479 0.739 0.218

Values from the calculation:
* ΔE_f (raw): -1.51 eV/atom
* crystal system: trigonal
* ΔE to the lowest computed polymorph: 0.000 eV/atom
* total magnetic moment: 0.00 μB per atom
* DFT total energy: -5.772 eV per atom
* SG: R-3m (166)

=====

Below is a relaxed structure of Cs8Na6Cl, with properties calculated at the PBE level.

Cell: 7.609 12.532 12.532 Å, 120.00 90.00 90.00°
Atoms (fractional coordinates):
Cs: 0.263 0.775 0.026
Cs: 0.263 0.974 0.748
Cs: 0.737 0.748 0.775
Cs: 0.743 0.333 0.667
Cs: 0.737 0.225 0.974
Cs: 0.257 0.667 0.333
Cs: 0.263 0.252 0.225
Cs: 0.737 0.026 0.252
Cl: 0.500 0.000 0.000
Na: 0.759 0.613 0.110
Na: 0.759 0.497 0.387
Na: 0.241 0.387 0.890
Na: 0.241 0.503 0.613
Na: 0.241 0.110 0.497
Na: 0.759 0.890 0.503

Values from the calculation:
* ΔE_f (raw): -0.21 eV/atom
* crystal system: trigonal
* total magnetic moment: 0.00 μB per atom
* DFT total energy: -1.318 eV per atom
* SG: P-3 (147)

=====

Below is a relaxed structure of Pt2W2Au, with properties calculated at the PBE level.

Cell: 3.790 3.790 6.783 Å, 73.78 73.78 90.00°
Atoms (fractional coordinates):
Pt: 0.750 0.250 0.500
Pt: 0.250 0.750 0.500
W: 0.402 0.402 0.196
W: 0.598 0.598 0.804
Au: 0.000 0.000 0.000

Values from the calculation:
* formation energy: 0.415 eV/atom
* crystal system: tetragonal
* ΔE to the lowest computed polymorph: 0.299 eV/atom
* total magnetic moment: 0.00 μB per atom
* DFT total energy: -7.838 eV per atom
* SG: I4/mmm (139)